1.
VASP calculation (PBE-GGA) on an optimized crystal structure of LiAlZn5Ag2.

Output
magnetization: 0.0 μB per cell
VASP energy: -2.036 eV/atom
E_form: -0.59 eV/f.u.

Lattice parameters (Å, degrees): 6.9607 6.9607 14.1783 90.00 90.00 155.81
Fractional coordinates of all 18 atoms:
Li1 0.0741 0.9259 0.5000
Li2 0.9259 0.0741 0.0000
Al1 0.2556 0.7444 0.0471
Al2 0.7444 0.2556 0.5471
Zn1 0.0737 0.9263 0.1527
Zn2 0.1065 0.8935 0.8250
Zn3 0.2280 0.7720 0.3803
Zn4 0.2644 0.7356 0.7139
Zn5 0.4064 0.5936 0.1648
Zn6 0.5936 0.4064 0.6648
Zn7 0.7356 0.2644 0.2139
Zn8 0.7720 0.2280 0.8803
Zn9 0.8935 0.1065 0.3250
Zn10 0.9263 0.0737 0.6527
Ag1 0.4045 0.5955 0.4877
Ag2 0.4353 0.5647 0.8253
Ag3 0.5647 0.4353 0.3253
Ag4 0.5955 0.4045 0.9877


2.
VASP calculation (PBE-GGA) on an optimized crystal structure of Li2AlZn5Ag2.

Output
magnetization: 0.0 μB per cell
VASP energy: -2.022 eV/atom
E_form: -0.57 eV/f.u.

Lattice parameters (Å, degrees): 8.7658 8.7658 4.3203 90.00 90.00 90.00
Fractional coordinates of all 20 atoms:
Li1 0.1739 0.3261 0.0000
Li2 0.3261 0.8261 0.0000
Li3 0.6739 0.1739 0.0000
Li4 0.8261 0.6739 0.0000
Al1 0.0000 0.0000 0.0000
Al2 0.5000 0.5000 0.0000
Zn1 0.0000 0.5000 0.5000
Zn2 0.0878 0.8062 0.5000
Zn3 0.1938 0.0878 0.5000
Zn4 0.3062 0.5878 0.5000
Zn5 0.4122 0.3062 0.5000
Zn6 0.5000 0.0000 0.5000
Zn7 0.5878 0.6938 0.5000
Zn8 0.6938 0.4122 0.5000
Zn9 0.8062 0.9122 0.5000
Zn10 0.9122 0.1938 0.5000
Ag1 0.1215 0.6215 0.0000
Ag2 0.3785 0.1215 0.0000
Ag3 0.6215 0.8785 0.0000
Ag4 0.8785 0.3785 0.0000


3.
VASP calculation (PBE-GGA) on an optimized crystal structure of Li2Al2ZnAg5.

Output
magnetization: 0.0 μB per cell
VASP energy: -2.755 eV/atom
E_form: -0.70 eV/f.u.

Lattice parameters (Å, degrees): 10.6144 10.6144 3.2534 90.00 90.00 90.00
Fractional coordinates of all 20 atoms:
Li1 0.1666 0.3334 0.0000
Li2 0.3334 0.8334 0.0000
Li3 0.6666 0.1666 0.0000
Li4 0.8334 0.6666 0.0000
Al1 0.1363 0.6363 0.0000
Al2 0.3637 0.1363 0.0000
Al3 0.6363 0.8637 0.0000
Al4 0.8637 0.3637 0.0000
Zn1 0.0000 0.0000 0.0000
Zn2 0.5000 0.5000 0.0000
Ag1 0.0000 0.5000 0.5000
Ag2 0.0495 0.8066 0.5000
Ag3 0.1934 0.0495 0.5000
Ag4 0.3066 0.5495 0.5000
Ag5 0.4505 0.3066 0.5000
Ag6 0.5000 0.0000 0.5000
Ag7 0.5495 0.6934 0.5000
Ag8 0.6934 0.4505 0.5000
Ag9 0.8066 0.9505 0.5000
Ag10 0.9505 0.1934 0.5000


4.
VASP calculation (PBE-GGA) on an optimized crystal structure of LiAlZnAg2.

Output
magnetization: 0.0 μB per cell
VASP energy: -2.687 eV/atom
E_form: -0.80 eV/f.u.

Lattice parameters (Å, degrees): 6.1225 4.0738 6.3941 90.00 93.24 90.00
Fractional coordinates of all 10 atoms:
Li1 0.2459 0.2500 0.2605
Li2 0.7541 0.7500 0.7395
Al1 0.3371 0.7500 0.9454
Al2 0.6629 0.2500 0.0546
Zn1 0.1583 0.7500 0.5493
Zn2 0.8417 0.2500 0.4507
Ag1 0.0346 0.2500 0.8404
Ag2 0.4651 0.2500 0.6693
Ag3 0.5349 0.7500 0.3307
Ag4 0.9654 0.7500 0.1596


5.
VASP calculation (PBE-GGA) on an optimized crystal structure of Li2AlZn2Ag2.

Output
magnetization: 0.0 μB per cell
VASP energy: -2.468 eV/atom
E_form: -1.46 eV/f.u.

Lattice parameters (Å, degrees): 7.6597 4.4594 6.8140 90.00 111.68 90.00
Fractional coordinates of all 14 atoms:
Li1 0.0738 0.0000 0.2192
Li2 0.4262 0.5000 0.7808
Li3 0.5738 0.5000 0.2192
Li4 0.9262 0.0000 0.7808
Al1 0.0000 0.5000 0.5000
Al2 0.5000 0.0000 0.5000
Zn1 0.1431 0.5000 0.9279
Zn2 0.3569 0.0000 0.0721
Zn3 0.6431 0.0000 0.9279
Zn4 0.8569 0.5000 0.0721
Ag1 0.2148 0.0000 0.6479
Ag2 0.2852 0.5000 0.3521
Ag3 0.7148 0.5000 0.6479
Ag4 0.7852 0.0000 0.3521


6.
VASP calculation (PBE-GGA) on an optimized crystal structure of LiAlZn2Ag2.

Output
magnetization: 0.0 μB per cell
VASP energy: -2.436 eV/atom
E_form: -0.71 eV/f.u.

Lattice parameters (Å, degrees): 4.1446 8.2732 5.5289 90.00 90.00 90.00
Fractional coordinates of all 12 atoms:
Li1 0.0000 0.1781 0.0000
Li2 0.0000 0.8219 0.5000
Al1 0.5000 0.0032 0.2528
Al2 0.5000 0.9968 0.7528
Zn1 0.0000 0.4868 0.4966
Zn2 0.0000 0.5132 0.9966
Zn3 0.5000 0.3274 0.7415
Zn4 0.5000 0.6726 0.2415
Ag1 0.0000 0.1493 0.5063
Ag2 0.0000 0.8507 0.0063
Ag3 0.5000 0.3398 0.2316
Ag4 0.5000 0.6602 0.7316


7.
VASP calculation (PBE-GGA) on an optimized crystal structure of LuAlAg.

Output
magnetization: 0.0 μB per cell
VASP energy: -4.092 eV/atom
E_form: -1.16 eV/f.u.

Lattice parameters (Å, degrees): 4.6244 4.6244 3.3478 90.00 90.00 120.00
Fractional coordinates of all 3 atoms:
Lu1 0.0000 0.0000 0.0000
Al1 0.6667 0.3333 0.5000
Ag1 0.3333 0.6667 0.5000


8.
VASP calculation (PBE-GGA) on an optimized crystal structure of LuAl2Ag.

Output
magnetization: 0.0 μB per cell
VASP energy: -3.937 eV/atom
E_form: -0.89 eV/f.u.
ΔE to the lowest computed polymorph: 0.073 eV/atom

Lattice parameters (Å, degrees): 4.3736 4.3736 14.8575 90.00 90.00 120.00
Fractional coordinates of all 12 atoms:
Lu1 0.0000 0.0000 0.0000
Lu2 0.3333 0.6667 0.6667
Lu3 0.6667 0.3333 0.3333
Al1 0.0000 0.0000 0.2162
Al2 0.0000 0.0000 0.7838
Al3 0.3333 0.6667 0.4505
Al4 0.3333 0.6667 0.8828
Al5 0.6667 0.3333 0.1172
Al6 0.6667 0.3333 0.5495
Ag1 0.0000 0.0000 0.5000
Ag2 0.3333 0.6667 0.1667
Ag3 0.6667 0.3333 0.8333


- What is the formula in the eighth record?
  LuAl2Ag